1.
Computed, not measured: crystalline Tm5Al2Sn2 at its relaxed geometry at the PBE level of DFT.

Lattice parameters (Å, degrees): 15.3523 7.9367 7.8069 90.00 90.00 90.00
Space group Cmce (No. 64)
Unique sites:
Tm 0.0000 0.0000 0.0000 [4 per cell]
Tm 0.1348 0.1773 0.3247 [16 per cell]
Al 0.0000 0.1192 0.6198 [8 per cell]
Sn 0.2096 0.0000 0.0000 [8 per cell]

## Properties
- ΔE_f (eV/f.u.) = -4.51
- total energy (eV per atom) = -4.71

=====

2.
Computed, not measured: crystalline Tm4AlSn2 at its relaxed geometry at the PBE level of DFT.

Lattice parameters (Å, degrees): 13.8643 4.7948 6.2735 90.00 109.61 90.00
Space group C2/m (No. 12)
Unique sites:
Tm 0.0729 0.0000 0.2896 [4 per cell]
Tm 0.1424 0.5000 0.7390 [4 per cell]
Al 0.0000 0.5000 0.0000 [2 per cell]
Sn 0.2183 0.5000 0.2764 [4 per cell]

## Properties
- ΔE_f (eV/f.u.) = -2.17
- total energy (eV per atom) = -4.54

=====

3.
Computed, not measured: crystalline Tm6AlSn2 at its relaxed geometry at the PBE level of DFT.

Lattice parameters (Å, degrees): 7.4800 7.4800 10.6592 90.00 90.00 90.00
Space group P4_2/mnm (No. 136)
Unique sites:
Tm 0.2213 0.2213 0.1614 [8 per cell]
Tm 0.2306 0.2306 0.5000 [4 per cell]
Al 0.0000 0.0000 0.0000 [2 per cell]
Sn 0.0000 0.0000 0.3310 [4 per cell]

## Properties
- ΔE_f (eV/f.u.) = 0.64
- total energy (eV per atom) = -4.22

=====

4.
Computed, not measured: crystalline Tm4AlSn at its relaxed geometry at the PBE level of DFT.

Lattice parameters (Å, degrees): 7.1086 7.1086 14.1852 90.00 90.00 90.00
Space group I4_1/amd (No. 141, origin choice 2)
Unique sites:
Tm 0.2398 0.0000 0.0000 [16 per cell]
Al 0.0000 0.2500 0.8750 [4 per cell]
Sn 0.0000 0.2500 0.3750 [4 per cell]

## Properties
- ΔE_f (eV/f.u.) = -1.18
- total energy (eV per atom) = -4.47